(1)
Crystalline Pu2Zn3In at its relaxed geometry. Source: Alexandria, functional PBE.

Cell lengths 5.6945, 5.6945, 8.8393 Å; angles 90.00, 90.00, 120.00 degrees
Sites, in units of the cell vectors:
Pu1 0.3333 0.6667 0.0665
Pu2 0.3333 0.6667 0.4335
Pu3 0.6667 0.3333 0.5665
Pu4 0.6667 0.3333 0.9335
Zn1 0.1782 0.3565 0.7500
Zn2 0.1782 0.8218 0.7500
Zn3 0.3565 0.1782 0.2500
Zn4 0.6435 0.8218 0.7500
Zn5 0.8218 0.1782 0.2500
Zn6 0.8218 0.6435 0.2500
In1 0.0000 0.0000 0.0000
In2 0.0000 0.0000 0.5000

Calculated values
Crystal system   hexagonal
SG   P6_3/mmc (194)

***

(2)
Crystalline PuZnIn2 at its relaxed geometry. Source: Alexandria, functional PBE.

Cell lengths 5.1090, 5.1090, 5.1090 Å; angles 60.00, 60.00, 60.00 degrees
Sites, in units of the cell vectors:
Pu1 0.0000 0.0000 0.0000
Zn1 0.2500 0.2500 0.2500
In1 0.5000 0.5000 0.5000
In2 0.7500 0.7500 0.7500

Calculated values
Crystal system   cubic
SG   F-43m (216)

***

no.,total DFT energy (no corrections) (Ry/atom),ΔE_f (eV/atom),magnetic moment (μB per cell)
1,-0.4434,-0.16,23.075
2,-0.3918,-0.06,5.925